Compound: Mg2TaCo
Source: the Alexandria database
Functional: GGA-PBE
Structure: relaxed

Cell lengths 5.630, 5.630, 5.630 Å; angles 149.62, 132.51, 57.43 degrees
Last column: magnetic moment on the atom in μB.
Fractional positions:
Mg 0.467 0.467 0.000  0.00
Mg 0.033 0.033 0.000  0.00
Ta 0.750 0.250 0.500  -0.03
Co 0.250 0.750 0.500  0.67

Its energy above the most stable polymorph in this dataset is 0.188 eV per atom. As for the density of states at the Fermi level: 0.806 states/eV/atom. The formation energy is 0.2168 eV/atom. For the calculated total energy, the calculation gives -5.32 eV per atom.

Compound: Pa2CrGe4Ir3
Source: the Alexandria database
Functional: GGA-PBE
Structure: relaxed

Cell lengths 4.155, 4.155, 10.402 Å; angles 90.00, 90.00, 90.00 degrees
Last column: magnetic moment on the atom in μB.
Fractional positions:
Ir 0.000 0.500 0.133  0.00
Ir 0.000 0.000 0.500  0.01
Ge 0.500 0.000 0.634  -0.04
Ir 0.500 0.000 0.867  0.00
Pa 0.000 0.500 0.748  0.09
Ge 0.000 0.500 0.366  -0.04
Ge 0.500 0.500 0.000  0.00
Cr 0.500 0.500 0.500  2.50
Pa 0.500 0.000 0.252  0.09
Ge 0.000 0.000 0.000  0.00

As for the density of states at the Fermi level: 0.409 states/eV/atom. The formation energy is -0.5786 eV/atom. For the calculated total energy, the calculation gives -7.95 eV per atom.

Compound: Mg14SnSb
Source: the Alexandria database
Functional: GGA-PBE
Structure: relaxed

Cell lengths 6.360, 6.360, 10.148 Å; angles 90.00, 90.00, 114.70 degrees
Fractional positions:
Mg 0.163 0.339 0.252
Mg 0.342 0.166 0.500
Mg 0.661 0.837 0.252
Mg 0.163 0.339 0.748
Mg 0.662 0.338 0.752
Mg 0.662 0.338 0.248
Sb 0.329 0.671 0.500
Sn 0.837 0.163 0.500
Mg 0.342 0.158 0.000
Mg 0.834 0.658 0.500
Mg 0.159 0.841 0.752
Mg 0.159 0.841 0.248
Mg 0.842 0.658 0.000
Mg 0.661 0.837 0.748
Mg 0.844 0.156 0.000
Mg 0.343 0.657 0.000

The energy relative to the elements, uncorrected is -0.04 eV/atom. Its energy above the most stable polymorph in this dataset is 0.015 eV per atom. As for the density of states at the Fermi level: 0.335 states/eV/atom. For the calculated total energy, the calculation gives -1.94 eV per atom.

Compound: Pr4Nd5Tm
Source: the Alexandria database
Functional: GGA-PBE
Structure: relaxed

Cell lengths 3.621, 11.375, 9.017 Å; angles 89.49, 101.57, 89.85 degrees
Fractional positions:
Nd 0.827 0.052 0.656
Pr 0.651 0.251 0.309
Nd 0.829 0.443 0.652
Tm 0.500 0.000 0.000
Nd 0.500 0.500 0.000
Nd 0.173 0.948 0.344
Pr 0.349 0.749 0.691
Pr 0.969 0.247 0.942
Nd 0.171 0.557 0.348
Pr 0.031 0.753 0.058

Its energy above the most stable polymorph in this dataset is 0.146 eV per atom. As for the density of states at the Fermi level: 1.475 states/eV/atom. The formation energy is 0.1658 eV/atom. For the calculated total energy, the calculation gives -4.58 eV per atom.

Compound: Ba2ZrRu
Source: the Alexandria database
Functional: GGA-PBE
Structure: relaxed

Cell lengths 6.135, 6.135, 3.499 Å; angles 89.94, 89.94, 120.03 degrees
Fractional positions:
Ba 0.000 0.000 0.000
Ru 0.500 0.000 0.500
Zr 0.000 0.500 0.500
Ba 0.500 0.500 0.000

Its energy above the most stable polymorph in this dataset is 0.803 eV per atom. As for the density of states at the Fermi level: 1.201 states/eV/atom. The formation energy is 0.9048 eV/atom. For the calculated total energy, the calculation gives -4.51 eV per atom.

Compound: LaLuHf
Source: the Alexandria database
Functional: GGA-PBE
Structure: relaxed

Cell lengths 3.412, 3.412, 8.446 Å; angles 90.00, 90.00, 120.00 degrees
Fractional positions:
La 0.000 0.000 0.018
Hf 0.667 0.333 0.340
Lu 0.333 0.667 0.643

Its energy above the most stable polymorph in this dataset is 0.019 eV per atom. As for the density of states at the Fermi level: 1.113 states/eV/atom. The formation energy is 0.1570 eV/atom. For the calculated total energy, the calculation gives -6.31 eV per atom.